Below is ThMg2As2Rh7 after structural relaxation, with properties calculated at the PBE-GGA level.

Lattice parameters (Å, degrees): 5.809 5.706 12.713 90.00 99.07 90.00
Space group C2/m (No. 12)
Unique sites:
Th (0.000, 0.000, 0.000) (multiplicity 2)
Mg (0.121, 0.000, 0.328) (multiplicity 4)
As (0.095, 0.500, 0.283) (multiplicity 4)
Rh (0.000, 0.500, 0.000) (multiplicity 2)
Rh (0.191, 0.249, 0.826) (multiplicity 8)
Rh (0.216, 0.000, 0.537) (multiplicity 4)

Values from the calculation:
DFT formation energy = -486 meV per atom


Below is Ta2NiHg2S6 after structural relaxation, with properties calculated at the PBE-GGA level.

Lattice parameters (Å, degrees): 5.861 10.428 9.517 90.00 104.24 90.00
Space group C2/m (No. 12)
Unique sites:
Ta (0.000, 0.161, 0.000) (multiplicity 4)
Ni (0.000, 0.500, 0.000) (multiplicity 2)
Hg (0.000, 0.249, 0.500) (multiplicity 4)
S (0.099, 0.334, 0.846) (multiplicity 8)
S (0.109, 0.000, 0.841) (multiplicity 4)

Values from the calculation:
raw formation energy = -6.5 eV/f.u.


Below is Be2Te after structural relaxation, with properties calculated at the PBE-GGA level.

Lattice parameters (Å, degrees): 6.9587 6.9587 4.1044 90.00 90.00 120.00
Space group P-62m (No. 189)
Unique sites:
Be (0.0000, 0.3035, 0.0000) (multiplicity 3)
Be (0.0000, 0.3559, 0.5000) (multiplicity 3)
Te (0.0000, 0.0000, 0.5000) (multiplicity 1)
Te (0.3333, 0.6667, 0.0000) (multiplicity 2)

Values from the calculation:
offset from the most stable computed form = 686 meV/atom
raw formation energy = 2.1 eV/f.u.


| no. | DOS at the Fermi energy (states/eV per atom) |
| --- | --- |
| 1 | 0.552 |
| 2 | 0.261 |
| 3 | 0.366 |